Entry 1:
DFT (SCAN) results for a crystal of CaHg2Cl relaxed with PBEsol.

Computed properties:
Formation energy without anion corrections in eV/atom: -0.80
Distance to the lowest polymorph of the same formula in eV per formula unit: 0.802

CIF file:
```
data_CaHg2Cl
_space_group_name_H-M_alt 'F -4 3 m'
_space_group_IT_number 216
_space_group_name_Hall 'F -4 2 3'
_cell_length_a 7.276
_cell_length_b 7.276
_cell_length_c 7.276
_cell_angle_alpha 90.00
_cell_angle_beta 90.00
_cell_angle_gamma 90.00
loop_
_atom_site_label
_atom_site_fract_x
_atom_site_fract_y
_atom_site_fract_z
Ca1 0.000 0.000 0.000
Hg1 0.000 0.000 0.500
Hg2 0.250 0.250 0.750
Cl1 0.250 0.250 0.250
```

---

Entry 2:
DFT (SCAN) results for a crystal of Ni2OsSe relaxed with PBEsol.

Computed properties:
Formation energy without anion corrections in eV/atom: 0.47

CIF file:
```
data_Ni2OsSe
_space_group_name_H-M_alt 'F -4 3 m'
_space_group_IT_number 216
_space_group_name_Hall 'F -4 2 3'
_cell_length_a 5.856
_cell_length_b 5.856
_cell_length_c 5.856
_cell_angle_alpha 90.00
_cell_angle_beta 90.00
_cell_angle_gamma 90.00
loop_
_atom_site_label
_atom_site_fract_x
_atom_site_fract_y
_atom_site_fract_z
Ni1 0.000 0.000 0.000
Ni2 0.250 0.250 0.250
Os1 0.000 0.000 0.500
Se1 0.250 0.250 0.750
```

---

Entry 3:
DFT (SCAN) results for a crystal of BeSb2W relaxed with PBEsol.

Computed properties:
Formation energy without anion corrections in eV/atom: 0.61

CIF file:
```
data_BeSb2W
_space_group_name_H-M_alt 'R -3 m'
_space_group_IT_number 166
_space_group_name_Hall '-R 3 2"'
_cell_length_a 3.4172
_cell_length_b 3.4172
_cell_length_c 21.7500
_cell_angle_alpha 90.00
_cell_angle_beta 90.00
_cell_angle_gamma 120.00
loop_
_atom_site_label
_atom_site_fract_x
_atom_site_fract_y
_atom_site_fract_z
Be1 0.0000 0.0000 0.0000
Sb1 0.0000 0.0000 0.2552
W1 0.0000 0.0000 0.5000
```

---

Entry 4:
DFT (SCAN) results for a crystal of MgPb3 relaxed with PBEsol.

Computed properties:
Calculated formation energy in meV/atom: -38

CIF file:
```
data_MgPb3
_space_group_name_H-M_alt 'P m -3 m'
_space_group_IT_number 221
_space_group_name_Hall '-P 4 2 3'
_cell_length_a 4.816
_cell_length_b 4.816
_cell_length_c 4.816
_cell_angle_alpha 90.00
_cell_angle_beta 90.00
_cell_angle_gamma 90.00
loop_
_atom_site_label
_atom_site_fract_x
_atom_site_fract_y
_atom_site_fract_z
Mg1 0.000 0.000 0.000
Pb1 0.000 0.500 0.500
```

---

Entry 5:
DFT (SCAN) results for a crystal of NaMgSc2 relaxed with PBEsol.

Computed properties:
Calculated formation energy in meV/atom: 401

CIF file:
```
data_NaMgSc2
_space_group_name_H-M_alt 'R -3 m'
_space_group_IT_number 166
_space_group_name_Hall '-R 3 2"'
_cell_length_a 3.1076
_cell_length_b 3.1076
_cell_length_c 36.4717
_cell_angle_alpha 90.00
_cell_angle_beta 90.00
_cell_angle_gamma 120.00
loop_
_atom_site_label
_atom_site_fract_x
_atom_site_fract_y
_atom_site_fract_z
Na1 0.0000 0.0000 0.0000
Mg1 0.0000 0.0000 0.5000
Sc1 0.0000 0.0000 0.4169
```

---

Entry 6:
DFT (SCAN) results for a crystal of Li2PHO relaxed with PBEsol.

CIF file:
```
data_Li2PHO
_space_group_name_H-M_alt 'P 4/m m m'
_space_group_IT_number 123
_space_group_name_Hall '-P 4 2'
_cell_length_a 4.565
_cell_length_b 4.565
_cell_length_c 2.371
_cell_angle_alpha 90.00
_cell_angle_beta 90.00
_cell_angle_gamma 90.00
loop_
_atom_site_label
_atom_site_fract_x
_atom_site_fract_y
_atom_site_fract_z
Li1 0.000 0.500 0.000
P1 0.000 0.000 0.500
H1 0.500 0.500 0.000
O1 0.500 0.500 0.500
```

---

Entry 7:
DFT (SCAN) results for a crystal of NiAgW2 relaxed with PBEsol.

Computed properties:
Calculated formation energy in meV/atom: 447
Distance to the lowest polymorph of the same formula in eV per formula unit: 0.000

CIF file:
```
data_NiAgW2
_space_group_name_H-M_alt 'P 1 m 1'
_space_group_IT_number 6
_cell_length_a 2.616
_cell_length_b 4.233
_cell_length_c 5.310
_cell_angle_alpha 90.00
_cell_angle_beta 99.62
_cell_angle_gamma 90.00
loop_
_space_group_symop_operation_xyz
'x,y,z'
'x,-y,z'
loop_
_atom_site_label
_atom_site_fract_x
_atom_site_fract_y
_atom_site_fract_z
Ni1 0.000 0.000 0.000
Ag1 0.922 0.500 0.736
W1 0.323 0.000 0.485
W2 0.588 0.500 0.208
```

---

Entry 8:
DFT (SCAN) results for a crystal of MgAsSN2 relaxed with PBEsol.

Computed properties:
Formation energy without anion corrections in eV/atom: 0.57

CIF file:
```
data_MgAsSN2
_space_group_name_H-M_alt 'P 4/m m m'
_space_group_IT_number 123
_space_group_name_Hall '-P 4 2'
_cell_length_a 3.656
_cell_length_b 3.656
_cell_length_c 5.247
_cell_angle_alpha 90.00
_cell_angle_beta 90.00
_cell_angle_gamma 90.00
loop_
_atom_site_label
_atom_site_fract_x
_atom_site_fract_y
_atom_site_fract_z
Mg1 0.000 0.000 0.000
As1 0.500 0.500 0.500
S1 0.500 0.500 0.000
N1 0.000 0.500 0.500
```

---

Entry 9:
DFT (SCAN) results for a crystal of ZrAlIr2 relaxed with PBEsol.

Computed properties:
Calculated formation energy in meV/atom: -802

CIF file:
```
data_ZrAlIr2
_space_group_name_H-M_alt 'P m m 2'
_space_group_IT_number 25
_cell_length_a 2.943
_cell_length_b 3.993
_cell_length_c 5.426
_cell_angle_alpha 90.00
_cell_angle_beta 90.00
_cell_angle_gamma 90.00
loop_
_space_group_symop_operation_xyz
'x,y,z'
'-x,-y,z'
'-x,y,z'
'x,-y,z'
loop_
_atom_site_label
_atom_site_fract_x
_atom_site_fract_y
_atom_site_fract_z
Zr1 0.000 0.000 0.000
Al1 0.500 0.500 0.322
Ir1 0.000 0.000 0.477
Ir2 0.500 0.500 0.802
```

---

Entry 10:
DFT (SCAN) results for a crystal of Al2AgIBr relaxed with PBEsol.

Computed properties:
Formation energy without anion corrections in eV/atom: 0.26

CIF file:
```
data_Al2AgIBr
_space_group_name_H-M_alt 'P 4/m m m'
_space_group_IT_number 123
_space_group_name_Hall '-P 4 2'
_cell_length_a 5.151
_cell_length_b 5.151
_cell_length_c 5.341
_cell_angle_alpha 90.00
_cell_angle_beta 90.00
_cell_angle_gamma 90.00
loop_
_atom_site_label
_atom_site_fract_x
_atom_site_fract_y
_atom_site_fract_z
Al1 0.000 0.500 0.000
Ag1 0.000 0.000 0.000
I1 0.000 0.000 0.500
Br1 0.500 0.500 0.500
```

---

Entry 11:
DFT (SCAN) results for a crystal of NaTl2SbBr relaxed with PBEsol.

Computed properties:
Formation energy without anion corrections in eV/atom: -0.27

CIF file:
```
data_NaTl2SbBr
_space_group_name_H-M_alt 'P 4/m m m'
_space_group_IT_number 123
_space_group_name_Hall '-P 4 2'
_cell_length_a 5.916
_cell_length_b 5.916
_cell_length_c 5.806
_cell_angle_alpha 90.00
_cell_angle_beta 90.00
_cell_angle_gamma 90.00
loop_
_atom_site_label
_atom_site_fract_x
_atom_site_fract_y
_atom_site_fract_z
Na1 0.000 0.000 0.000
Tl1 0.000 0.500 0.500
Sb1 0.000 0.000 0.500
Br1 0.500 0.500 0.000
```

---

Entry 12:
DFT (SCAN) results for a crystal of AsPd2O relaxed with PBEsol.

Computed properties:
Formation energy without anion corrections in eV/atom: -0.24

CIF file:
```
data_AsPd2O
_space_group_name_H-M_alt 'F m -3 m'
_space_group_IT_number 225
_space_group_name_Hall '-F 4 2 3'
_cell_length_a 5.890
_cell_length_b 5.890
_cell_length_c 5.890
_cell_angle_alpha 90.00
_cell_angle_beta 90.00
_cell_angle_gamma 90.00
loop_
_atom_site_label
_atom_site_fract_x
_atom_site_fract_y
_atom_site_fract_z
As1 0.000 0.000 0.000
Pd1 0.250 0.250 0.250
O1 0.000 0.000 0.500
```

---

Entry 13:
DFT (SCAN) results for a crystal of KSrHg2 relaxed with PBEsol.

Computed properties:
Calculated formation energy in meV/atom: -451

CIF file:
```
data_KSrHg2
_space_group_name_H-M_alt 'P 4/m m m'
_space_group_IT_number 123
_space_group_name_Hall '-P 4 2'
_cell_length_a 3.985
_cell_length_b 3.985
_cell_length_c 8.162
_cell_angle_alpha 90.00
_cell_angle_beta 90.00
_cell_angle_gamma 90.00
loop_
_atom_site_label
_atom_site_fract_x
_atom_site_fract_y
_atom_site_fract_z
K1 0.000 0.000 0.000
Sr1 0.000 0.000 0.500
Hg1 0.500 0.500 0.284
```

---

Entry 14:
DFT (SCAN) results for a crystal of Mg2ZnIn relaxed with PBEsol.

Computed properties:
Calculated formation energy in meV/atom: -21

CIF file:
```
data_Mg2ZnIn
_space_group_name_H-M_alt 'F -4 3 m'
_space_group_IT_number 216
_space_group_name_Hall 'F -4 2 3'
_cell_length_a 6.876
_cell_length_b 6.876
_cell_length_c 6.876
_cell_angle_alpha 90.00
_cell_angle_beta 90.00
_cell_angle_gamma 90.00
loop_
_atom_site_label
_atom_site_fract_x
_atom_site_fract_y
_atom_site_fract_z
Mg1 0.000 0.000 0.000
Mg2 0.250 0.250 0.250
Zn1 0.250 0.250 0.750
In1 0.000 0.000 0.500
```

---

Entry 15:
DFT (SCAN) results for a crystal of Na3AgS relaxed with PBEsol.

Computed properties:
Formation energy without anion corrections in eV/atom: -0.55

CIF file:
```
data_Na3AgS
_space_group_name_H-M_alt 'P m -3 m'
_space_group_IT_number 221
_space_group_name_Hall '-P 4 2 3'
_cell_length_a 5.232
_cell_length_b 5.232
_cell_length_c 5.232
_cell_angle_alpha 90.00
_cell_angle_beta 90.00
_cell_angle_gamma 90.00
loop_
_atom_site_label
_atom_site_fract_x
_atom_site_fract_y
_atom_site_fract_z
Na1 0.000 0.000 0.500
Ag1 0.500 0.500 0.500
S1 0.000 0.000 0.000
```

---

Entry 16:
DFT (SCAN) results for a crystal of Sr3P4Rh13 relaxed with PBEsol.

Computed properties:
Calculated formation energy in meV/atom: -553

CIF file:
```
data_Sr3P4Rh13
_space_group_name_H-M_alt 'P m -3 n'
_space_group_IT_number 223
_space_group_name_Hall '-P 4n 2 3'
_cell_length_a 8.690
_cell_length_b 8.690
_cell_length_c 8.690
_cell_angle_alpha 90.00
_cell_angle_beta 90.00
_cell_angle_gamma 90.00
loop_
_atom_site_label
_atom_site_fract_x
_atom_site_fract_y
_atom_site_fract_z
Sr1 0.000 0.250 0.500
P1 0.250 0.250 0.250
Rh1 0.000 0.000 0.000
Rh2 0.000 0.263 0.156
```

---

Entry 17:
DFT (SCAN) results for a crystal of Cd2HgPb relaxed with PBEsol.

Computed properties:
Calculated formation energy in meV/atom: 69
Distance to the lowest polymorph of the same formula in eV per formula unit: 0.093

CIF file:
```
data_Cd2HgPb
_space_group_name_H-M_alt 'I 4/m m m'
_space_group_IT_number 139
_space_group_name_Hall '-I 4 2'
_cell_length_a 4.515
_cell_length_b 4.515
_cell_length_c 9.329
_cell_angle_alpha 90.00
_cell_angle_beta 90.00
_cell_angle_gamma 90.00
loop_
_atom_site_label
_atom_site_fract_x
_atom_site_fract_y
_atom_site_fract_z
Cd1 0.000 0.500 0.250
Hg1 0.000 0.000 0.000
Pb1 0.000 0.000 0.500
```

---

Entry 18:
DFT (SCAN) results for a crystal of DyInPt4 relaxed with PBEsol.

Computed properties:
Calculated formation energy in meV/atom: -918

CIF file:
```
data_DyInPt4
_space_group_name_H-M_alt 'F -4 3 m'
_space_group_IT_number 216
_space_group_name_Hall 'F -4 2 3'
_cell_length_a 7.525
_cell_length_b 7.525
_cell_length_c 7.525
_cell_angle_alpha 90.00
_cell_angle_beta 90.00
_cell_angle_gamma 90.00
loop_
_atom_site_label
_atom_site_fract_x
_atom_site_fract_y
_atom_site_fract_z
Dy1 0.000 0.000 0.000
In1 0.250 0.250 0.250
Pt1 0.125 0.125 0.625
```

---

Entry 19:
DFT (SCAN) results for a crystal of YScTl2 relaxed with PBEsol.

Computed properties:
Calculated formation energy in meV/atom: -286

CIF file:
```
data_YScTl2
_space_group_name_H-M_alt 'P m m 2'
_space_group_IT_number 25
_cell_length_a 3.566
_cell_length_b 4.595
_cell_length_c 6.222
_cell_angle_alpha 90.00
_cell_angle_beta 90.00
_cell_angle_gamma 90.00
loop_
_space_group_symop_operation_xyz
'x,y,z'
'-x,-y,z'
'-x,y,z'
'x,-y,z'
loop_
_atom_site_label
_atom_site_fract_x
_atom_site_fract_y
_atom_site_fract_z
Y1 0.000 0.000 0.000
Sc1 0.500 0.500 0.302
Tl1 0.000 0.000 0.490
Tl2 0.500 0.500 0.790
```

---

Entry 20:
DFT (SCAN) results for a crystal of LiPNCl2 relaxed with PBEsol.

Computed properties:
Formation energy without anion corrections in eV/atom: 0.95

CIF file:
```
data_LiPNCl2
_space_group_name_H-M_alt 'P 4/m m m'
_space_group_IT_number 123
_space_group_name_Hall '-P 4 2'
_cell_length_a 4.348
_cell_length_b 4.348
_cell_length_c 5.065
_cell_angle_alpha 90.00
_cell_angle_beta 90.00
_cell_angle_gamma 90.00
loop_
_atom_site_label
_atom_site_fract_x
_atom_site_fract_y
_atom_site_fract_z
Li1 0.000 0.000 0.000
P1 0.000 0.000 0.500
N1 0.500 0.500 0.500
Cl1 0.000 0.500 0.000
```

---

| no. | VASP energy (eV/atom) |
| --- | --- |
| 1 | -39.294 |
| 2 | -30.604 |
| 3 | -36.532 |
| 4 | -58.117 |
| 5 | -9.015 |
| 6 | -5.708 |
| 7 | -46.282 |
| 8 | -10.103 |
| 9 | -45.964 |
| 10 | -20.358 |
| 11 | -41.401 |
| 12 | -23.236 |
| 13 | -42.185 |
| 14 | -14.233 |
| 15 | -11.280 |
| 16 | -27.925 |
| 17 | -51.125 |
| 18 | -61.244 |
| 19 | -46.985 |
| 20 | -6.660 |